Record 1
Compound: Ho12Al6Zn
Source: Alexandria via LeMat-Bulk
Functional: PBE
Structure: relaxed

a b c (Å): 8.569 8.569 8.569
angles (deg): 101.12 101.12 101.12
Fractional positions:
Ho (0.048, 0.944, 0.678)
Ho (0.056, 0.322, 0.952)
Ho (0.178, 0.558, 0.420)
Ho (0.322, 0.952, 0.056)
Ho (0.420, 0.178, 0.558)
Ho (0.442, 0.580, 0.822)
Ho (0.558, 0.420, 0.178)
Ho (0.580, 0.822, 0.442)
Ho (0.678, 0.048, 0.944)
Ho (0.822, 0.442, 0.580)
Ho (0.944, 0.678, 0.048)
Ho (0.952, 0.056, 0.322)
Al (0.137, 0.306, 0.623)
Al (0.306, 0.623, 0.137)
Al (0.377, 0.863, 0.694)
Al (0.623, 0.137, 0.306)
Al (0.694, 0.377, 0.863)
Al (0.863, 0.694, 0.377)
Zn (0.000, 0.000, 0.000)

Calculated values
Formation energy (eV/atom): 0.094

***

Record 2
Compound: Ho3Al2Zn4
Source: Alexandria via LeMat-Bulk
Functional: PBE
Structure: relaxed

a b c (Å): 5.699 5.699 8.502
angles (deg): 111.56 111.56 46.34
Fractional positions:
Ho (0.000, 0.000, 0.000)
Ho (0.337, 0.337, 0.327)
Ho (0.663, 0.663, 0.673)
Al (0.383, 0.383, 0.717)
Al (0.617, 0.617, 0.283)
Zn (0.073, 0.073, 0.407)
Zn (0.287, 0.287, 0.955)
Zn (0.713, 0.713, 0.045)
Zn (0.927, 0.927, 0.593)

Calculated values
Formation energy (eV/atom): -0.431